[1]
LiDyTm2In4 GGA-PBE optimized geometry; SG = R-3m; calculated formation energy = -0.401 eV per atom; calculated volume = 24.90 Å³/atom
1.0
2.5842 1.4920 8.6117
-2.5842 1.4920 8.6117
0.0000 -2.9840 8.6117
Li Dy Tm In
1 1 2 4
Direct
0.0000 0.0000 0.0000
0.5000 0.5000 0.5000
0.2529 0.2529 0.2529
0.7471 0.7471 0.7471
0.1222 0.1222 0.1222
0.3729 0.3729 0.3729
0.6271 0.6271 0.6271
0.8778 0.8778 0.8778

[2]
Li2DyTm2In5 GGA-PBE optimized geometry; SG = P4/mbm; calculated formation energy = -0.343 eV per atom; calculated volume = 23.16 Å³/atom
1.0
10.2853 0.0000 0.0000
0.0000 10.2853 0.0000
0.0000 0.0000 4.3795
Li Dy Tm In
4 2 4 10
Direct
0.1202 0.3798 0.0000
0.3798 0.8798 0.0000
0.6202 0.1202 0.0000
0.8798 0.6202 0.0000
0.0000 0.0000 0.0000
0.5000 0.5000 0.0000
0.1744 0.6744 0.0000
0.3256 0.1744 0.0000
0.6744 0.8256 0.0000
0.8256 0.3256 0.0000
0.0000 0.5000 0.5000
0.0757 0.2116 0.5000
0.2116 0.9243 0.5000
0.2884 0.4243 0.5000
0.4243 0.7116 0.5000
0.5000 0.0000 0.5000
0.5757 0.2884 0.5000
0.7116 0.5757 0.5000
0.7884 0.0757 0.5000
0.9243 0.7884 0.5000

[3]
LiDy2TmIn4 GGA-PBE optimized geometry; SG = R-3m; calculated formation energy = -0.410 eV per atom; calculated volume = 25.12 Å³/atom
1.0
2.5924 1.4967 8.6328
-2.5924 1.4967 8.6328
0.0000 -2.9935 8.6328
Li Dy Tm In
1 2 1 4
Direct
0.0000 0.0000 0.0000
0.2536 0.2536 0.2536
0.7464 0.7464 0.7464
0.5000 0.5000 0.5000
0.1235 0.1235 0.1235
0.3739 0.3739 0.3739
0.6261 0.6261 0.6261
0.8765 0.8765 0.8765

[4]
LiDy2YIn4 GGA-PBE optimized geometry; SG = R-3m; calculated formation energy = -0.429 eV per atom; calculated volume = 25.43 Å³/atom
1.0
2.6012 1.5018 8.6807
-2.6012 1.5018 8.6807
0.0000 -3.0036 8.6807
Li Dy Y In
1 2 1 4
Direct
0.0000 0.0000 0.0000
0.2539 0.2539 0.2539
0.7461 0.7461 0.7461
0.5000 0.5000 0.5000
0.1228 0.1228 0.1228
0.3735 0.3735 0.3735
0.6265 0.6265 0.6265
0.8772 0.8772 0.8772

[5]
Li2Dy2YIn2 GGA-PBE optimized geometry; SG = R-3m; calculated formation energy = -0.233 eV per atom; calculated volume = 25.64 Å³/atom
1.0
2.4205 1.3974 8.8452
-2.4205 1.3974 8.8452
0.0000 -2.7949 8.8452
Li Dy Y In
2 2 1 2
Direct
0.1036 0.1036 0.1036
0.8964 0.8964 0.8964
0.3723 0.3723 0.3723
0.6277 0.6277 0.6277
0.5000 0.5000 0.5000
0.2380 0.2380 0.2380
0.7620 0.7620 0.7620

[6]
Li2DyY2In2 GGA-PBE optimized geometry; SG = R-3m; calculated formation energy = -0.238 eV per atom; calculated volume = 25.80 Å³/atom
1.0
2.4196 1.3969 8.9056
-2.4196 1.3969 8.9056
0.0000 -2.7939 8.9056
Li Dy Y In
2 1 2 2
Direct
0.1046 0.1046 0.1046
0.8954 0.8954 0.8954
0.5000 0.5000 0.5000
0.3729 0.3729 0.3729
0.6271 0.6271 0.6271
0.2376 0.2376 0.2376
0.7624 0.7624 0.7624

[7]
LiDyY2In4 GGA-PBE optimized geometry; SG = R-3m; calculated formation energy = -0.435 eV per atom; calculated volume = 25.48 Å³/atom
1.0
2.6031 1.5029 8.6851
-2.6031 1.5029 8.6851
0.0000 -3.0058 8.6851
Li Dy Y In
1 1 2 4
Direct
0.0000 0.0000 0.0000
0.5000 0.5000 0.5000
0.2541 0.2541 0.2541
0.7459 0.7459 0.7459
0.1232 0.1232 0.1232
0.3738 0.3738 0.3738
0.6262 0.6262 0.6262
0.8768 0.8768 0.8768

[8]
Li2DyY2In5 GGA-PBE optimized geometry; SG = P4/mbm; calculated formation energy = -0.391 eV per atom; calculated volume = 23.52 Å³/atom
1.0
10.3453 0.0000 0.0000
0.0000 10.3453 0.0000
0.0000 0.0000 4.3944
Li Dy Y In
4 2 4 10
Direct
0.1200 0.3800 0.0000
0.3800 0.8800 0.0000
0.6200 0.1200 0.0000
0.8800 0.6200 0.0000
0.0000 0.0000 0.0000
0.5000 0.5000 0.0000
0.1743 0.6743 0.0000
0.3257 0.1743 0.0000
0.6743 0.8257 0.0000
0.8257 0.3257 0.0000
0.0000 0.5000 0.5000
0.0745 0.2120 0.5000
0.2120 0.9255 0.5000
0.2880 0.4255 0.5000
0.4255 0.7120 0.5000
0.5000 0.0000 0.5000
0.5745 0.2880 0.5000
0.7120 0.5745 0.5000
0.7880 0.0745 0.5000
0.9255 0.7880 0.5000

[9]
LiDy3Zn2In3 GGA-PBE optimized geometry; SG = P-62m; calculated formation energy = -0.416 eV per atom; calculated volume = 22.38 Å³/atom
1.0
7.8908 0.0000 0.0000
-3.9454 6.8336 0.0000
0.0000 0.0000 3.7347
Li Dy Zn In
1 3 2 3
Direct
0.0000 0.0000 0.0000
0.0000 0.3991 0.0000
0.3991 0.0000 0.0000
0.6009 0.6009 0.0000
0.3333 0.6667 0.5000
0.6667 0.3333 0.5000
0.0000 0.7365 0.5000
0.2635 0.2635 0.5000
0.7365 0.0000 0.5000

[10]
DyLuIn2 GGA-PBE optimized geometry; SG = P4/mmm; calculated formation energy = -0.428 eV per atom; calculated volume = 25.93 Å³/atom
1.0
3.7176 0.0000 0.0000
0.0000 3.7176 0.0000
0.0000 0.0000 7.5058
Dy Lu In
1 1 2
Direct
0.0000 0.0000 0.0000
0.0000 0.0000 0.5000
0.5000 0.5000 0.2565
0.5000 0.5000 0.7435

[11]
DyLuIn2 GGA-PBE optimized geometry; SG = R-3m; calculated formation energy = -0.310 eV per atom; calculated volume = 27.80 Å³/atom
1.0
1.8218 1.0518 9.6726
-1.8218 1.0518 9.6726
0.0000 -2.1037 9.6726
Dy Lu In
1 1 2
Direct
0.0000 0.0000 0.0000
0.5000 0.5000 0.5000
0.2488 0.2488 0.2488
0.7512 0.7512 0.7512

[12]
DyLuIn4 GGA-PBE optimized geometry; SG = F-43m; calculated formation energy = -0.266 eV per atom; calculated volume = 25.08 Å³/atom
1.0
0.0000 4.2217 4.2217
4.2217 0.0000 4.2217
4.2217 4.2217 0.0000
Dy Lu In
1 1 4
Direct
0.0000 0.0000 0.0000
0.7500 0.7500 0.7500
0.3750 0.3750 0.3750
0.3750 0.3750 0.8750
0.3750 0.8750 0.3750
0.8750 0.3750 0.3750

[13]
DyLuIn GGA-PBE optimized geometry; SG = I4mm; calculated formation energy = -0.308 eV per atom; energy relative to the lowest polymorph listed for this composition = 0 meV/atom; calculated volume = 27.74 Å³/atom
1.0
-1.7490 1.7490 6.8014
1.7490 -1.7490 6.8014
1.7490 1.7490 -6.8014
Dy Lu In
1 1 1
Direct
0.0000 0.0000 0.0000
0.3151 0.3151 0.0000
0.6603 0.6603 0.0000

[14]
DyLuIn GGA-PBE optimized geometry; SG = P3m1; calculated formation energy = -0.215 eV per atom; energy relative to the lowest polymorph listed for this composition = 93 meV/atom; calculated volume = 27.94 Å³/atom
1.0
5.1812 0.0000 0.0000
-2.5906 4.4870 0.0000
0.0000 0.0000 3.6055
Dy Lu In
1 1 1
Direct
0.0000 0.0000 0.0000
0.6667 0.3333 0.5531
0.3333 0.6667 0.3400

[15]
DyLuIn2 GGA-PBE optimized geometry; SG = Fm-3m; calculated formation energy = -0.428 eV per atom; calculated volume = 25.96 Å³/atom
1.0
0.0000 3.7304 3.7304
3.7304 0.0000 3.7304
3.7304 3.7304 0.0000
Dy Lu In
1 1 2
Direct
0.0000 0.0000 0.0000
0.5000 0.5000 0.5000
0.2500 0.2500 0.2500
0.7500 0.7500 0.7500

[16]
DyLuMnIn GGA-PBE optimized geometry; SG = F-43m; calculated formation energy = -0.096 eV per atom; calculated volume = 24.05 Å³/atom
1.0
0.0000 3.6365 3.6365
3.6365 0.0000 3.6365
3.6365 3.6365 0.0000
Dy Lu Mn In
1 1 1 1
Direct
0.0000 0.0000 0.0000
0.5000 0.5000 0.5000
0.2500 0.2500 0.2500
0.7500 0.7500 0.7500

[17]
NdDyLuIn GGA-PBE optimized geometry; SG = F-43m; calculated formation energy = -0.152 eV per atom; calculated volume = 29.00 Å³/atom
1.0
0.0000 3.8707 3.8707
3.8707 0.0000 3.8707
3.8707 3.8707 0.0000
Nd Dy Lu In
1 1 1 1
Direct
0.0000 0.0000 0.0000
0.5000 0.5000 0.5000
0.7500 0.7500 0.7500
0.2500 0.2500 0.2500

[18]
DyLuInPb GGA-PBE optimized geometry; SG = F-43m; calculated formation energy = -0.356 eV per atom; calculated volume = 27.14 Å³/atom
1.0
0.0000 3.7864 3.7864
3.7864 0.0000 3.7864
3.7864 3.7864 0.0000
Dy Lu In Pb
1 1 1 1
Direct
0.0000 0.0000 0.0000
0.5000 0.5000 0.5000
0.7500 0.7500 0.7500
0.2500 0.2500 0.2500

[19]
PrDyLuIn GGA-PBE optimized geometry; SG = F-43m; calculated formation energy = -0.152 eV per atom; calculated volume = 29.27 Å³/atom
1.0
0.0000 3.8829 3.8829
3.8829 0.0000 3.8829
3.8829 3.8829 0.0000
Pr Dy Lu In
1 1 1 1
Direct
0.0000 0.0000 0.0000
0.5000 0.5000 0.5000
0.7500 0.7500 0.7500
0.2500 0.2500 0.2500

[20]
DyLuInRh GGA-PBE optimized geometry; SG = F-43m; calculated formation energy = -0.585 eV per atom; calculated volume = 22.67 Å³/atom
1.0
0.0000 3.5659 3.5659
3.5659 0.0000 3.5659
3.5659 3.5659 0.0000
Dy Lu In Rh
1 1 1 1
Direct
0.0000 0.0000 0.0000
0.5000 0.5000 0.5000
0.2500 0.2500 0.2500
0.7500 0.7500 0.7500

[21]
TbDyLuIn GGA-PBE optimized geometry; SG = F-43m; calculated formation energy = -0.145 eV per atom; calculated volume = 28.15 Å³/atom
1.0
0.0000 3.8325 3.8325
3.8325 0.0000 3.8325
3.8325 3.8325 0.0000
Tb Dy Lu In
1 1 1 1
Direct
0.0000 0.0000 0.0000
0.5000 0.5000 0.5000
0.2500 0.2500 0.2500
0.7500 0.7500 0.7500

[22]
DyLuInTc GGA-PBE optimized geometry; SG = F-43m; calculated formation energy = -0.176 eV per atom; calculated volume = 22.41 Å³/atom
1.0
0.0000 3.5519 3.5519
3.5519 0.0000 3.5519
3.5519 3.5519 0.0000
Dy Lu In Tc
1 1 1 1
Direct
0.0000 0.0000 0.0000
0.5000 0.5000 0.5000
0.2500 0.2500 0.2500
0.7500 0.7500 0.7500

[23]
DyLuTiIn GGA-PBE optimized geometry; SG = F-43m; calculated formation energy = -0.088 eV per atom; calculated volume = 24.94 Å³/atom
1.0
0.0000 3.6812 3.6812
3.6812 0.0000 3.6812
3.6812 3.6812 0.0000
Dy Lu Ti In
1 1 1 1
Direct
0.0000 0.0000 0.0000
0.5000 0.5000 0.5000
0.2500 0.2500 0.2500
0.7500 0.7500 0.7500

[24]
DyTmLuIn GGA-PBE optimized geometry; SG = F-43m; calculated formation energy = -0.132 eV per atom; calculated volume = 27.66 Å³/atom
1.0
0.0000 3.8105 3.8105
3.8105 0.0000 3.8105
3.8105 3.8105 0.0000
Dy Tm Lu In
1 1 1 1
Direct
0.0000 0.0000 0.0000
0.5000 0.5000 0.5000
0.2500 0.2500 0.2500
0.7500 0.7500 0.7500

[25]
DyLuZrIn GGA-PBE optimized geometry; SG = F-43m; calculated formation energy = -0.066 eV per atom; calculated volume = 26.19 Å³/atom
1.0
0.0000 3.7415 3.7415
3.7415 0.0000 3.7415
3.7415 3.7415 0.0000
Dy Lu Zr In
1 1 1 1
Direct
0.0000 0.0000 0.0000
0.5000 0.5000 0.5000
0.7500 0.7500 0.7500
0.2500 0.2500 0.2500

[26]
DyMgIn2 GGA-PBE optimized geometry; SG = R-3m; calculated formation energy = -0.255 eV per atom; calculated volume = 25.63 Å³/atom
1.0
2.4037 1.3878 5.1228
-2.4037 1.3878 5.1228
0.0000 -2.7756 5.1228
Dy Mg In
1 1 2
Direct
0.0000 0.0000 0.0000
0.5000 0.5000 0.5000
0.2307 0.2307 0.2307
0.7693 0.7693 0.7693

[27]
DyMgIn2 GGA-PBE optimized geometry; SG = P4/mmm; calculated formation energy = -0.399 eV per atom; calculated volume = 24.15 Å³/atom
1.0
4.6281 0.0000 0.0000
0.0000 4.6281 0.0000
0.0000 0.0000 4.5103
Dy Mg In
1 1 2
Direct
0.0000 0.0000 0.0000
0.5000 0.5000 0.0000
0.0000 0.5000 0.5000
0.5000 0.0000 0.5000